The following is a PBE-GGA calculation of crystalline CaPdO at its relaxed geometry, from Alexandria.

Cell: 3.343 3.343 8.167 Å, 90.00 90.00 90.00°
Fractional coordinates of all 6 atoms:
1 Ca 0.250 0.250 0.156
2 Ca 0.750 0.750 0.844
3 Pd 0.250 0.250 0.591
4 Pd 0.750 0.750 0.409
5 O 0.250 0.250 0.863
6 O 0.750 0.750 0.137

Computed properties:
- DOS at the Fermi energy: 1.085 states/eV per atom
- ΔE_f (raw): -1.6843 eV per atom